Computed, not measured: an optimized crystal structure of Sm2MnAs4Ir3 at the PBE-GGA level of DFT.

Its calculated density is 11.3 g cm⁻³. For the calculated total energy, the calculation gives -7.061 eV/atom. Its density of states at the Fermi level is 5.095 states/eV per cell.

The space group is P-4m2 (No. 115) and the conventional cell measures 4.279, 4.279 and 9.927 Å, with angles of 90.00, 90.00 and 90.00 degrees. Symmetry generates all atoms from Sm at (0.000, 0.500, 0.247), Mn at (0.000, 0.000, 0.500), As at (0.000, 0.000, 0.000), As at (0.000, 0.500, 0.626), As at (0.500, 0.500, 0.000), Ir at (0.000, 0.500, 0.874) and Ir at (0.500, 0.500, 0.500).

=====

Computed, not measured: an optimized crystal structure of Hf2MgAuN at the PBE-GGA level of DFT.

Its calculated density is 11.9 g cm⁻³. For the calculated total energy, the calculation gives -7.455 eV/atom. Its density of states at the Fermi level is 2.762 states/eV per cell.

The space group is P4/mmm (No. 123) and the conventional cell measures 4.396, 4.396 and 4.259 Å, with angles of 90.00, 90.00 and 90.00 degrees. Symmetry generates all atoms from Hf at (0.000, 0.500, 0.000), Mg at (0.000, 0.000, 0.500), Au at (0.500, 0.500, 0.500) and N at (0.000, 0.000, 0.000).

=====

Among the records above, which one has the highest calculated density? Hf2MgAuN

=====

The lowest calculated density belongs to which entry? Sm2MnAs4Ir3